The following is a PBE calculation of LiAc2HoCd6 after structural relaxation, from the Alexandria database.

a = 5.459 Å, b = 7.195 Å, c = 8.267 Å
α = 64.22°, β = 70.80°, γ = 89.97°
Fractional coordinates of all 10 atoms:
Li1 0.000 0.000 0.000
Ac1 0.347 0.847 0.308
Ac2 0.653 0.153 0.692
Ho1 0.500 0.500 0.000
Cd1 0.112 0.412 0.775
Cd2 0.113 0.811 0.776
Cd3 0.282 0.283 0.434
Cd4 0.718 0.717 0.566
Cd5 0.887 0.189 0.224
Cd6 0.888 0.588 0.225

Properties
The magnetic moment comes out at 0.0 μB per formula unit. Its space-group type is P-1. As for the formation energy: -213 kJ/mol of formula units.

=====

The following is a PBE calculation of Ca2PuRu2 after structural relaxation, from the Alexandria database.

a = 5.814 Å, b = 5.814 Å, c = 7.927 Å
α = 97.57°, β = 97.57°, γ = 62.63°
Fractional coordinates of all 10 atoms:
Ca1 0.021 0.281 0.150
Ca2 0.281 0.021 0.650
Ca3 0.719 0.979 0.350
Ca4 0.979 0.719 0.850
Pu1 0.376 0.624 0.250
Pu2 0.624 0.376 0.750
Ru1 0.240 0.508 0.486
Ru2 0.492 0.760 0.014
Ru3 0.508 0.240 0.986
Ru4 0.760 0.492 0.514

Properties
The magnetic moment comes out at 3.7 μB per formula unit. Its space-group type is C2/c. As for the formation energy: -47 kJ/mol of formula units.

=====

The following is a PBE calculation of RbTm5S8 after structural relaxation, from the Alexandria database.

a = 10.270 Å, b = 10.270 Å, c = 9.616 Å
α = 104.50°, β = 104.50°, γ = 22.11°
Fractional coordinates of all 14 atoms:
Rb1 0.000 0.000 0.000
Tm1 0.156 0.156 0.448
Tm2 0.203 0.203 0.839
Tm3 0.500 0.500 0.500
Tm4 0.797 0.797 0.161
Tm5 0.844 0.844 0.552
S1 0.079 0.079 0.643
S2 0.271 0.271 0.355
S3 0.330 0.330 0.009
S4 0.420 0.420 0.689
S5 0.580 0.580 0.311
S6 0.670 0.670 0.991
S7 0.729 0.729 0.645
S8 0.921 0.921 0.357

Properties
The magnetic moment comes out at 0.0 μB per formula unit. Its space-group type is C2/m. The uncorrected formation energy comes out at -2015 meV per atom.